First-principles (PBE) data for CaLa2Te after structural relaxation, as listed in the Alexandria database.

The total energy is -4.02 eV per atom.

The structure belongs to space group F-43m (No. 216); the cell edges are 7.987, 7.987 and 7.987 Å and the angles 90.00°, 90.00° and 90.00°. Symmetry generates all atoms from Ca at (0.000, 0.000, 0.000), La at (0.000, 0.000, 0.500), La at (0.250, 0.250, 0.250) and Te at (0.250, 0.250, 0.750).